Record 1
Below is a geometry-optimized TcSnO3 structure, with properties calculated at the GGA-PBE level.

The formation energy from raw total energies comes out at -1071 meV per atom.

The space group is Pm-3m (No. 221) and the conventional cell measures 3.9555, 3.9555 and 3.9555 Å, with angles of 90.00, 90.00 and 90.00 degrees. The asymmetric unit holds Tc at (0.0000, 0.0000, 0.0000), Sn at (0.5000, 0.5000, 0.5000) and O at (0.0000, 0.0000, 0.5000).

=====

Record 2
Below is a geometry-optimized SrY2Co structure, with properties calculated at the GGA-PBE level.

For the excess energy over the best structure of this formula in the dataset, the calculation gives 72 meV/atom. The calculation puts the formation energy at 6.7 kJ/mol of atoms.

The space group is Amm2 (No. 38) and the conventional cell measures 3.7586, 4.0532 and 16.4324 Å, with angles of 90.00, 90.00 and 90.00 degrees. The asymmetric unit holds Sr at (0.0000, 0.0000, 0.0000), Y at (0.0000, 0.0000, 0.6875), Y at (0.5000, 0.0000, 0.3228) and Co at (0.5000, 0.0000, 0.1674).

=====

Record 3
Below is a geometry-optimized ZrCuAu structure, with properties calculated at the GGA-PBE level.

For the excess energy over the best structure of this formula in the dataset, the calculation gives 372 meV/atom. The calculation puts the formation energy at 0.6 kJ/mol of atoms.

The space group is Fddd (No. 70, origin choice 2) and the conventional cell measures 7.7850, 8.2683 and 14.0728 Å, with angles of 90.00, 90.00 and 90.00 degrees. The asymmetric unit holds Zr at (0.0000, 0.0000, 0.0000), Cu at (0.1250, 0.2655, 0.6250) and Au at (0.1250, 0.1250, 0.4581).

=====

Record 4
Below is a geometry-optimized CaMgRu structure, with properties calculated at the GGA-PBE level.

The calculation puts the formation energy at 24.1 kJ/mol of atoms.

The space group is P3m1 (No. 156) and the conventional cell measures 4.7821, 4.7821 and 3.0947 Å, with angles of 90.00, 90.00 and 120.00 degrees. The asymmetric unit holds Ca at (0.0000, 0.0000, 0.0000), Mg at (0.3333, 0.6667, 0.4412) and Ru at (0.6667, 0.3333, 0.6011).